Entry 1:
An optimized crystal structure of V8H3C3N, computed with PBE-GGA.

Calculated values
Total energy = -8.473 eV/atom
DOS at the Fermi energy = 11.57 states/eV/f.u.

a b c (Å): 5.8010 5.8010 13.8519
angles (deg): 90.00 90.00 120.00
Space group R-3m (No. 166, hexagonal axes)
Asymmetric unit:
1 V 0.0000 0.0000 0.2474 [6 per cell]
2 V 0.0030 0.5015 0.2476 [18 per cell]
3 H 0.0000 0.5000 0.0000 [9 per cell]
4 C 0.0000 0.5000 0.5000 [9 per cell]
5 N 0.0000 0.0000 0.5000 [3 per cell]

=====

Entry 2:
An optimized crystal structure of LiCuAu, computed with PBE-GGA.

Calculated values
Total energy = -3.284 eV/atom
E above lowest polymorph = 20 kJ/mol of formula units
DOS at the Fermi energy = 0.51 states/eV/f.u.

a b c (Å): 2.924 2.924 10.092
angles (deg): 90.00 90.00 90.00
Space group I4mm (No. 107)
Asymmetric unit:
1 Li 0.000 0.000 0.000 [2 per cell]
2 Cu 0.000 0.000 0.657 [2 per cell]
3 Au 0.000 0.000 0.332 [2 per cell]